# 1
! CaSbAs2, optimized geometry, DFT PBE-GGA; values from VASP
! space group	P4/mmm, No. 123
! final energy	-16.89	eV per cell
! ΔE_f (raw)	-0.366	eV/atom
&SYSTEM
  ibrav = 0, nat = 4, ntyp = 3
/
ATOMIC_SPECIES
As 74.92 As.upf
Sb 121.76 Sb.upf
Ca 40.08 Ca.upf
ATOMIC_POSITIONS crystal
As 0.5000 0.5000 0.0000
Sb 0.0000 0.5000 0.5000
Ca 0.5000 0.0000 0.5000
As 0.0000 0.0000 0.0000
CELL_PARAMETERS angstrom
4.7843 0.0000 0.0000
0.0000 4.7805 0.0000
0.0000 0.0000 4.0556

# 2
! Np2AlGe, optimized geometry, DFT PBE-GGA; values from VASP
! space group	P4/mmm, No. 123
! final energy	-34.31	eV per cell
! E_form	-0.068	eV per formula unit
&SYSTEM
  ibrav = 0, nat = 4, ntyp = 3
/
ATOMIC_SPECIES
Np 237.00 Np.upf
Ge 72.64 Ge.upf
Al 26.98 Al.upf
ATOMIC_POSITIONS crystal
Np 0.0000 0.0000 0.5000
Np 0.0000 0.5000 0.0000
Ge 0.5000 0.0000 0.0000
Al 0.5000 0.5000 0.5000
CELL_PARAMETERS angstrom
-2.3145 1.4606 -4.0655
2.2340 -2.1486 -2.0437
-2.3915 -2.8183 0.3489

# 3
! BaYH, optimized geometry, DFT PBE-GGA; values from VASP
! space group	I4_1/a, No. 88
! final energy	-197.27	eV per cell
&SYSTEM
  ibrav = 0, nat = 48, ntyp = 3
/
ATOMIC_SPECIES
Y 88.91 Y.upf
Ba 137.33 Ba.upf
H 1.01 H.upf
ATOMIC_POSITIONS crystal
Y 0.1090 0.9218 0.6252
Ba 0.8483 0.3852 0.6666
Ba 0.4851 0.6666 0.6148
H 0.1774 0.4323 0.9588
Y 0.7807 0.1252 0.5782
Ba 0.8499 0.8852 0.1666
Y 0.9717 0.8726 0.4250
H 0.8861 0.5412 0.9323
H 0.5726 0.0677 0.5412
H 0.7403 0.9191 0.3538
Y 0.6032 0.4250 0.1274
Y 0.0941 0.4218 0.1252
H 0.3596 0.4588 0.0677
Ba 0.9017 0.1148 0.8334
Y 0.7783 0.6274 0.0750
H 0.5684 0.5677 0.0412
Y 0.1468 0.0750 0.3726
Y 0.1556 0.5750 0.8726
Ba 0.9001 0.6148 0.3334
H 0.3904 0.0412 0.4323
Ba 0.3924 0.1245 0.8387
Ba 0.4831 0.1613 0.1245
Y 0.5944 0.9250 0.6274
Y 0.6559 0.0782 0.3748
Ba 0.9835 0.1666 0.1148
H 0.3406 0.6462 0.9191
Y 0.6410 0.5782 0.8748
Ba 0.2669 0.3387 0.3755
H 0.0097 0.5809 0.1462
Ba 0.3576 0.3755 0.6613
H 0.1816 0.9323 0.4588
Ba 0.7689 0.8387 0.8755
Y 0.2694 0.1274 0.5750
Y 0.4806 0.3726 0.9250
Ba 0.3943 0.6245 0.3387
Ba 0.2649 0.8334 0.8852
H 0.4094 0.8538 0.5809
H 0.9059 0.3538 0.0809
Ba 0.3557 0.8755 0.1613
Ba 0.7665 0.3334 0.3852
Y 0.2658 0.6252 0.0782
Y 0.9693 0.3748 0.9218
Ba 0.9811 0.6613 0.6245
H 0.8639 0.9588 0.5677
H 0.0132 0.0809 0.6462
H 0.7368 0.4191 0.8538
H 0.8441 0.1462 0.4191
Y 0.4842 0.8748 0.4218
CELL_PARAMETERS angstrom
7.8870 0.0000 0.0000
3.9435 13.6923 0.0000
3.9435 0.0000 13.6923

# 4
! Pu3Ni6Ge2, optimized geometry, DFT PBE-GGA; values from VASP
! space group	Im-3m, No. 229
! final energy	-182.17	eV per cell
! E_form	-4.168	eV per formula unit
&SYSTEM
  ibrav = 0, nat = 22, ntyp = 3
/
ATOMIC_SPECIES
Ge 72.64 Ge.upf
Pu 244.00 Pu.upf
Ni 58.69 Ni.upf
ATOMIC_POSITIONS crystal
Ge 0.0000 0.5000 0.0000
Ge 0.0000 0.0000 0.5000
Pu 0.2683 0.0000 0.2683
Ge 0.5000 0.5000 0.5000
Ni 0.6546 0.0000 0.3454
Ni 0.3454 0.0000 0.6546
Pu 0.0000 0.2683 0.2683
Pu 0.0000 0.7317 0.7317
Pu 0.2683 0.2683 0.0000
Ge 0.5000 0.0000 0.0000
Ni 0.0000 0.6546 0.3454
Pu 0.7317 0.0000 0.7317
Ni 0.6546 0.6546 0.3093
Ni 0.3093 0.6546 0.6546
Ni 0.3454 0.6546 0.0000
Ni 0.0000 0.3454 0.6546
Ni 0.6546 0.3093 0.6546
Ni 0.3454 0.6907 0.3454
Ni 0.6907 0.3454 0.3454
Ni 0.6546 0.3454 0.0000
Ni 0.3454 0.3454 0.6907
Pu 0.7317 0.7317 0.0000
CELL_PARAMETERS angstrom
7.1638 0.0000 -2.5328
-3.5819 6.2040 -2.5328
0.0000 0.0000 7.5984

# 5
! HfIn2PtN, optimized geometry, DFT PBE-GGA; values from VASP
! space group	P4/mmm, No. 123
! final energy	-30.68	eV per cell
! ΔE_f (raw)	-0.176	eV/atom
&SYSTEM
  ibrav = 0, nat = 5, ntyp = 4
/
ATOMIC_SPECIES
Hf 178.49 Hf.upf
Pt 195.08 Pt.upf
In 114.82 In.upf
N 14.01 N.upf
ATOMIC_POSITIONS crystal
Hf 0.0000 0.0000 0.5000
Pt 0.5000 0.5000 0.5000
In 0.5000 0.0000 0.0000
N 0.0000 0.0000 0.0000
In 0.0000 0.5000 0.0000
CELL_PARAMETERS angstrom
-0.5306 -4.5065 0.6841
4.5350 -0.5912 -0.3771
0.4239 0.5848 4.1806

# 6
! BeNb3Rh3, optimized geometry, DFT PBE-GGA; values from VASP
! space group	C2/m, No. 12
! final energy	-115.82	eV per cell
! E_form	-1.918	eV per formula unit
&SYSTEM
  ibrav = 0, nat = 14, ntyp = 3
/
ATOMIC_SPECIES
Rh 102.91 Rh.upf
Nb 92.91 Nb.upf
Be 9.01 Be.upf
ATOMIC_POSITIONS crystal
Rh 0.7966 0.7966 0.1031
Rh 0.2034 0.2034 0.8969
Nb 0.2971 0.7029 0.0000
Nb 0.7029 0.2971 0.0000
Rh 0.5568 0.9076 0.7316
Rh 0.4432 0.0924 0.2684
Rh 0.9076 0.5568 0.7316
Be 0.9412 0.9412 0.8312
Be 0.0588 0.0588 0.1688
Nb 0.8376 0.1624 0.5000
Nb 0.1624 0.8376 0.5000
Rh 0.0924 0.4432 0.2684
Nb 0.3772 0.3772 0.6174
Nb 0.6228 0.6228 0.3826
CELL_PARAMETERS angstrom
5.6910 0.7267 -0.7146
-0.3171 5.7285 -0.7146
0.0072 0.0087 6.5127

# 7
! UFe6B3, optimized geometry, DFT PBE-GGA; values from VASP
! space group	P1, No. 1
! final energy	-84.08	eV per cell
! E_form	-1.980	eV per formula unit
&SYSTEM
  ibrav = 0, nat = 10, ntyp = 3
/
ATOMIC_SPECIES
Fe 55.84 Fe.upf
B 10.81 B.upf
U 238.03 U.upf
ATOMIC_POSITIONS crystal
Fe 0.2313 0.3441 0.5771
Fe 0.6439 0.0906 0.2284
Fe 0.1325 0.6077 0.2347
Fe 0.8242 0.4099 0.7195
B 0.3539 0.0969 0.3929
B 0.5820 0.3733 0.9632
B 0.3516 0.6074 0.9622
U 0.9129 0.9719 0.8896
Fe 0.6685 0.6090 0.3296
Fe 0.2991 0.8892 0.7028
CELL_PARAMETERS angstrom
4.5352 0.1025 -2.1372
-2.9244 4.0035 -0.1845
0.3836 0.0393 5.5155

# 8
! GaHPd6Pb2, optimized geometry, DFT PBE-GGA; values from VASP
! space group	P-1, No. 2
! final energy	-47.74	eV per cell
&SYSTEM
  ibrav = 0, nat = 10, ntyp = 4
/
ATOMIC_SPECIES
Pb 207.20 Pb.upf
H 1.01 H.upf
Pd 106.42 Pd.upf
Ga 69.72 Ga.upf
ATOMIC_POSITIONS crystal
Pb 0.2402 0.7583 0.4486
H 0.5000 0.5000 0.0000
Pd 0.8214 0.6890 0.9628
Pd 0.7123 0.2866 0.9583
Pb 0.7598 0.2417 0.5514
Pd 0.3140 0.1815 0.4721
Ga 0.0000 0.0000 0.0000
Pd 0.6860 0.8185 0.5279
Pd 0.1786 0.3110 0.0372
Pd 0.2877 0.7134 0.0417
CELL_PARAMETERS angstrom
-4.9593 -1.4055 2.2591
2.5864 -6.2373 1.5846
0.6711 -3.2544 5.9164

# 9
! Na2AuI, optimized geometry, DFT PBE-GGA; values from VASP
! space group	Fm-3m, No. 225
! final energy	-9.89	eV per cell
! excess energy over the best structure of this formula in the dataset	74.5	meV/atom
! ΔE_f (raw)	-0.607	eV/atom
&SYSTEM
  ibrav = 0, nat = 4, ntyp = 3
/
ATOMIC_SPECIES
I 126.90 I.upf
Au 196.97 Au.upf
Na 22.99 Na.upf
ATOMIC_POSITIONS crystal
I 0.0000 0.0000 0.0000
Au 0.5000 0.5000 0.5000
Na 0.7500 0.7500 0.7500
Na 0.2500 0.2500 0.2500
CELL_PARAMETERS angstrom
-1.4587 1.9720 4.8307
-3.9714 3.6693 0.3410
-4.7776 -1.3715 2.1553

# 10
! RuPb2, optimized geometry, DFT PBE-GGA; values from VASP
! space group	P-62m, No. 189
! final energy	-46.44	eV per cell
! E_form	1.212	eV per formula unit
&SYSTEM
  ibrav = 0, nat = 9, ntyp = 2
/
ATOMIC_SPECIES
Pb 207.20 Pb.upf
Ru 101.07 Ru.upf
ATOMIC_POSITIONS crystal
Pb 0.6054 0.0000 0.5000
Pb 0.7318 0.7318 0.0000
Ru 0.3333 0.6667 0.0000
Pb 0.0000 0.6054 0.5000
Ru 0.6667 0.3333 0.0000
Pb 0.2682 0.0000 0.0000
Pb 0.3946 0.3946 0.5000
Ru 0.0000 0.0000 0.5000
Pb 0.0000 0.2682 0.0000
CELL_PARAMETERS angstrom
2.4532 7.5003 -1.4577
-5.0020 -3.6491 -5.1050
-2.8201 1.2814 1.8472

# 11
! TmZnPd4, optimized geometry, DFT PBE-GGA; values from VASP
! space group	C2/m, No. 12
! final energy	-29.24	eV per cell
! E_form	-2.722	eV per formula unit
&SYSTEM
  ibrav = 0, nat = 6, ntyp = 3
/
ATOMIC_SPECIES
Pd 106.42 Pd.upf
Tm 168.93 Tm.upf
Zn 65.41 Zn.upf
ATOMIC_POSITIONS crystal
Pd 0.6451 0.5692 0.1405
Pd 0.8484 0.9654 0.3378
Pd 0.1516 0.0346 0.6622
Tm 0.5000 0.5000 0.5000
Pd 0.3549 0.4308 0.8595
Zn 0.0000 0.0000 0.0000
CELL_PARAMETERS angstrom
3.1086 0.0000 0.0000
1.5543 4.3952 0.0495
1.5543 0.5972 7.7818

# 12
! Y3Tm4Sc2, optimized geometry, DFT PBE-GGA; values from VASP
! space group	C2/c, No. 15
! final energy	-98.16	eV per cell
! excess energy over the best structure of this formula in the dataset	0.0	meV/atom
! E_form	0.863	eV per formula unit
&SYSTEM
  ibrav = 0, nat = 18, ntyp = 3
/
ATOMIC_SPECIES
Sc 44.96 Sc.upf
Y 88.91 Y.upf
Tm 168.93 Tm.upf
ATOMIC_POSITIONS crystal
Sc 0.4354 0.1241 0.5466
Y 0.0640 0.8925 0.8028
Tm 0.4650 0.4363 0.1873
Y 0.4360 0.1972 0.1075
Tm 0.9822 0.1971 0.8358
Sc 0.5646 0.8759 0.4534
Tm 0.5178 0.1642 0.8029
Tm 0.0350 0.8127 0.5637
Tm 0.9650 0.1873 0.4363
Sc 0.9354 0.5466 0.1241
Tm 0.5350 0.5637 0.8127
Tm 0.0178 0.8029 0.1642
Tm 0.4822 0.8358 0.1971
Sc 0.0646 0.4534 0.8759
Y 0.2500 0.5142 0.4858
Y 0.5640 0.8028 0.8925
Y 0.7500 0.4858 0.5142
Y 0.9360 0.1075 0.1972
CELL_PARAMETERS angstrom
-5.0054 -3.4258 -2.6864
1.5215 -9.9766 -5.4573
-2.7160 -10.6486 3.2954

# 13
! HfCuRu2, optimized geometry, DFT PBE-GGA; values from VASP
! space group	P4/mmm, No. 123
! final energy	-33.51	eV per cell
! E_form	-0.909	eV per formula unit
&SYSTEM
  ibrav = 0, nat = 4, ntyp = 3
/
ATOMIC_SPECIES
Ru 101.07 Ru.upf
Cu 63.55 Cu.upf
Hf 178.49 Hf.upf
ATOMIC_POSITIONS crystal
Ru 0.0000 0.0000 0.5000
Ru 0.0000 0.5000 0.0000
Cu 0.5000 0.0000 0.0000
Hf 0.5000 0.5000 0.5000
CELL_PARAMETERS angstrom
3.8318 0.0000 0.0000
0.0000 3.9523 0.0000
0.0000 0.0000 3.9523

# 14
! Li2TbPd3, optimized geometry, DFT PBE-GGA; values from VASP
! space group	P2/m, No. 10
! final energy	-55.39	eV per cell
! excess energy over the best structure of this formula in the dataset	0.0	meV/atom
! E_form	-3.656	eV per formula unit
&SYSTEM
  ibrav = 0, nat = 12, ntyp = 3
/
ATOMIC_SPECIES
Li 6.94 Li.upf
Pd 106.42 Pd.upf
Tb 158.93 Tb.upf
ATOMIC_POSITIONS crystal
Li 0.3287 0.3420 0.5000
Pd 0.1643 0.6718 0.2741
Li 0.0000 0.0000 0.5000
Tb 0.3465 0.3064 0.0000
Pd 0.8357 0.3282 0.2741
Tb 0.6535 0.6936 0.0000
Li 0.6713 0.6580 0.5000
Pd 0.4999 0.0000 0.2851
Pd 0.8357 0.3282 0.7259
Pd 0.1643 0.6718 0.7259
Li 0.0000 0.0000 0.0000
Pd 0.5001 0.0000 0.7149
CELL_PARAMETERS angstrom
-2.0427 3.5988 -1.5061
-4.6095 2.0860 4.7663
4.7548 3.9071 2.8883

# 15
! Ho4Tm7In, optimized geometry, DFT PBE-GGA; values from VASP
! space group	C2/m, No. 12
! final energy	-49.91	eV per cell
! excess energy over the best structure of this formula in the dataset	220.3	meV/atom
! E_form	2.445	eV per formula unit
&SYSTEM
  ibrav = 0, nat = 12, ntyp = 3
/
ATOMIC_SPECIES
Tm 168.93 Tm.upf
Ho 164.93 Ho.upf
In 114.82 In.upf
ATOMIC_POSITIONS crystal
Tm 0.0997 0.7199 0.0807
Ho 0.6241 0.2303 0.5215
Ho 0.3759 0.7697 0.4785
Tm 0.7978 0.9180 0.4864
Tm 0.2022 0.0820 0.5136
Tm 0.6311 0.5259 0.2119
Tm 0.5000 0.0000 0.0000
Ho 0.8576 0.6180 0.6669
Tm 0.9003 0.2801 0.9193
Tm 0.3689 0.4741 0.7881
In 0.0000 0.0000 0.0000
Ho 0.1424 0.3820 0.3331
CELL_PARAMETERS angstrom
5.7724 0.0000 0.0000
2.8862 11.1246 0.1201
2.8862 0.5366 5.9564

# 16
! NiOs2, optimized geometry, DFT PBE-GGA; values from VASP
! space group	P6_3/mmc, No. 194
! final energy	-104.21	eV per cell
! excess energy over the best structure of this formula in the dataset	690.5	meV/atom
! E_form	2.189	eV per formula unit
&SYSTEM
  ibrav = 0, nat = 12, ntyp = 2
/
ATOMIC_SPECIES
Os 190.23 Os.upf
Ni 58.69 Ni.upf
ATOMIC_POSITIONS crystal
Os 0.8259 0.3483 0.7500
Os 0.0000 0.0000 0.0000
Os 0.1741 0.6517 0.2500
Ni 0.6667 0.6667 0.4025
Os 0.1741 0.1741 0.2500
Ni 0.6667 0.6667 0.0975
Ni 0.3333 0.3333 0.5975
Os 0.6517 0.1741 0.2500
Os 0.8259 0.8259 0.7500
Ni 0.3333 0.3333 0.9025
Os 0.3483 0.8259 0.7500
Os 0.0000 0.0000 0.5000
CELL_PARAMETERS angstrom
5.0763 0.0000 0.0000
2.5382 4.3962 0.0000
0.0000 0.0000 8.2126

# 17
! Rb4Pm3PrSe8, optimized geometry, DFT PBE-GGA; values from VASP
! space group	R-3m, No. 166
! final energy	-78.57	eV per cell
! ΔE_f (raw)	-1.737	eV/atom
&SYSTEM
  ibrav = 0, nat = 16, ntyp = 4
/
ATOMIC_SPECIES
Se 78.96 Se.upf
Pm 145.00 Pm.upf
Rb 85.47 Rb.upf
Pr 140.91 Pr.upf
ATOMIC_POSITIONS crystal
Se 0.7332 0.6995 0.4664
Pm 0.5000 0.5000 0.0000
Rb 0.0000 0.0000 0.5000
Se 0.7306 0.7008 0.9658
Se 0.2352 0.7008 0.9658
Se 0.2352 0.7008 0.4704
Rb 0.5000 0.0000 0.5000
Pm 0.0000 0.5000 0.5000
Rb 0.0000 0.0000 0.0000
Rb 0.5000 0.0000 0.0000
Pm 0.5000 0.5000 0.5000
Pr 0.0000 0.5000 0.0000
Se 0.7648 0.2992 0.0342
Se 0.2694 0.2992 0.0342
Se 0.2668 0.3005 0.5336
Se 0.7648 0.2992 0.5296
CELL_PARAMETERS angstrom
-3.5153 -2.2771 7.6577
-0.5771 -8.9920 -2.9388
7.8481 3.8132 -0.2376

# 18
! Rb2ZnHgI6, optimized geometry, DFT PBE-GGA; values from VASP
! space group	I4/mmm, No. 139
! final energy	-20.39	eV per cell
! ΔE_f (raw)	-0.758	eV/atom
&SYSTEM
  ibrav = 0, nat = 10, ntyp = 4
/
ATOMIC_SPECIES
Rb 85.47 Rb.upf
Hg 200.59 Hg.upf
Zn 65.41 Zn.upf
I 126.90 I.upf
ATOMIC_POSITIONS crystal
Rb 0.7500 0.2500 0.5000
Hg 0.0000 0.0000 0.0000
Zn 0.5000 0.5000 0.0000
I 0.2837 0.2837 0.4327
I 0.7578 0.7578 0.0000
Rb 0.2500 0.7500 0.5000
I 0.7163 0.7163 0.5673
I 0.7578 0.2422 0.0000
I 0.2422 0.7578 0.0000
I 0.2422 0.2422 0.0000
CELL_PARAMETERS angstrom
8.5564 0.0000 0.0000
0.0000 8.5564 0.0000
4.2782 4.2782 5.9541

# 19
! FePb2Se2, optimized geometry, DFT PBE-GGA; values from VASP
! space group	I4/mmm, No. 139
! final energy	-19.78	eV per cell
! excess energy over the best structure of this formula in the dataset	598.8	meV/atom
! ΔE_f (raw)	0.614	eV/atom
&SYSTEM
  ibrav = 0, nat = 5, ntyp = 3
/
ATOMIC_SPECIES
Fe 55.84 Fe.upf
Pb 207.20 Pb.upf
Se 78.96 Se.upf
ATOMIC_POSITIONS crystal
Fe 0.0000 0.0000 0.0000
Pb 0.7500 0.2500 0.5000
Se 0.4127 0.4127 0.1746
Se 0.5873 0.5873 0.8254
Pb 0.2500 0.7500 0.5000
CELL_PARAMETERS angstrom
-1.2786 -3.6897 -1.8124
3.8325 -1.7564 0.8720
-1.3401 -5.1072 6.2298

# 20
! Sm3MgAg3, optimized geometry, DFT PBE-GGA; values from VASP
! space group	C2/m, No. 12
! final energy	-50.32	eV per cell
! E_form	-0.853	eV per formula unit
&SYSTEM
  ibrav = 0, nat = 14, ntyp = 3
/
ATOMIC_SPECIES
Sm 150.36 Sm.upf
Mg 24.30 Mg.upf
Ag 107.87 Ag.upf
ATOMIC_POSITIONS crystal
Sm 0.6430 0.6430 0.3707
Sm 0.1698 0.8302 0.5000
Mg 0.2758 0.2758 0.1373
Sm 0.3570 0.3570 0.6293
Sm 0.8302 0.1698 0.5000
Ag 0.9152 0.9152 0.1636
Mg 0.7242 0.7242 0.8627
Ag 0.0245 0.4932 0.2820
Ag 0.4932 0.0245 0.2820
Sm 0.7331 0.2669 0.0000
Sm 0.2669 0.7331 0.0000
Ag 0.5068 0.9755 0.7180
Ag 0.9755 0.5068 0.7180
Ag 0.0848 0.0848 0.8364
CELL_PARAMETERS angstrom
-4.8191 5.3800 -0.1180
-4.9013 -5.2854 -0.4720
-0.0896 -0.2351 7.1054